Crystalline Ni2AsH at its relaxed geometry, computed with PBE.

Geometry as POSCAR:
```
Ni2AsH
1.0
-0.456 -2.236 1.837
-1.569 -2.315 -0.872
3.927 -3.950 -1.499
H As Ni
1 1 2
direct
0.674 0.674 0.979 H
0.499 0.499 0.503 As
0.270 0.270 0.190 Ni
0.057 0.057 0.829 Ni
```

relative energy among the computed polymorphs = 0.145 eV/atom
DOS at the Fermi energy = 1.327 states/eV/cell